(1)
This record from Alexandria via LeMat-Bulk describes a geometry-optimized P2OsSN structure. The functional is PBE.

abc: 2.801 5.276 7.003
angles: 110.56 90.56 105.33
Atoms (fractional coordinates):
P 0.233 0.732 0.065
P 0.170 0.591 0.320
Os 0.990 0.254 0.950
S 0.449 0.184 0.685
N 0.819 0.906 0.037

Values from the calculation:
E_form (uncorrected): 0.76 eV per formula unit
Relative energy among the computed polymorphs: 0.145 eV/atom



(2)
This record from Alexandria via LeMat-Bulk describes a geometry-optimized P2OsSN structure. The functional is PBE.

abc: 2.854 4.401 6.317
angles: 109.78 91.10 107.47
Atoms (fractional coordinates):
P 0.400 0.591 0.876
P 0.066 0.004 0.614
Os 0.984 0.725 0.184
S 0.300 0.325 0.270
N 0.514 0.874 0.735

Values from the calculation:
E_form (uncorrected): 0.57 eV per formula unit
Relative energy among the computed polymorphs: 0.107 eV/atom



(3)
This record from Alexandria via LeMat-Bulk describes a geometry-optimized P2OsSN structure. The functional is PBE.

abc: 4.735 2.828 5.919
angles: 90.00 112.73 90.00
Atoms (fractional coordinates):
P 0.855 0.500 0.837
P 0.649 0.000 0.468
Os 0.382 0.500 0.903
S 0.227 0.000 0.576
N 0.566 0.500 0.283

Values from the calculation:
E_form (uncorrected): 0.78 eV per formula unit
Relative energy among the computed polymorphs: 0.150 eV/atom



(4)
This record from Alexandria via LeMat-Bulk describes a geometry-optimized P2OsSN structure. The functional is PBE.

abc: 4.247 4.460 4.776
angles: 112.53 91.54 100.52
Atoms (fractional coordinates):
P 0.561 0.866 0.330
P 0.014 0.623 0.677
Os 0.625 0.338 0.268
S 0.026 0.168 0.938
N 0.359 0.684 0.532

Values from the calculation:
E_form (uncorrected): 1.00 eV per formula unit
Relative energy among the computed polymorphs: 0.192 eV/atom